The following is a DFT calculation (GGA+U) of a geometry-optimized Na3Fe2PdO6 structure.

Results
Total DFT energy (no corrections), eV/atom: -5.513
Crystal system: monoclinic

abc: 5.3341 5.3341 5.7632
angles: 100.20 100.20 118.20
With the nearest neighbours (Å) after each atom.
Positions (direct):
O: 0.4046 0.0644 0.1994  2 Fe 2.06-2.14, 1 Pd 2.09
O: 0.7114 0.7114 0.2149  2 Fe 2.04
Na: 0.1631 0.8369 0.5000  6 O 2.37-2.49
Na: 0.8369 0.1631 0.5000  6 O 2.37-2.49
Na: 0.5000 0.5000 0.5000  6 O 2.31-2.41
O: 0.2886 0.2886 0.7851  2 Fe 2.04
Fe: 0.3359 0.6641 0.0000  6 O 2.04-2.14
O: 0.5954 0.9356 0.8006  2 Fe 2.06-2.14, 1 Pd 2.09
O: 0.9356 0.5954 0.8006  2 Fe 2.06-2.14, 1 Pd 2.09
O: 0.0644 0.4046 0.1994  2 Fe 2.06-2.14, 1 Pd 2.09
Pd: 0.0000 0.0000 0.0000  6 O 2.09-2.32
Fe: 0.6641 0.3359 0.0000  6 O 2.04-2.14